A plane-wave DFT calculation with PBE was carried out for an optimized crystal structure of NdTh2In.

E_tot = -67.2 eV for the cell shown
Energy of formation = -10 meV/atom
Energy above the lowest structure with this stoichiometry = 0.173 eV/atom

Geometry as CIF:
```
data_NdTh2In
_chemical_formula_sum 'Nd3 Th6 In3'
_cell_length_a 3.5443
_cell_length_b 3.5443
_cell_length_c 34.8035
_cell_angle_alpha 90.00
_cell_angle_beta 90.00
_cell_angle_gamma 120.00
_symmetry_space_group_name_H-M 'R 3 m'
_symmetry_Int_Tables_number 160
_symmetry_space_group_name_Hall 'R 3 -2"'
loop_
_atom_site_label
_atom_site_type_symbol
_atom_site_fract_x
_atom_site_fract_y
_atom_site_fract_z
Nd1 Nd 0.0000 0.0000 0.0000
Th1 Th 0.0000 0.0000 0.4216
Th2 Th 0.0000 0.0000 0.5803
In1 In 0.0000 0.0000 0.8345
```